[1]
The following is a DFT calculation (GGA-PBEsol) of a relaxed Li7Ti11O24 crystal.

a = 5.0173 Å, b = 8.7644 Å, c = 9.6211 Å
α = 90.00°, β = 90.22°, γ = 90.00°
With the nearest neighbours (Å) after each atom.
Positions (direct):
Li 0.0000 0.0000 0.0000  4 O 1.84-2.06
Li 0.0006 0.3317 0.9951  4 O 1.84-2.04
Li 0.0006 0.6683 0.9951  4 O 1.84-2.04
Li 0.3765 0.3406 0.5031  4 O 1.85-2.01
Li 0.3765 0.6594 0.5031  4 O 1.85-2.01
Li 0.3829 0.0000 0.5003  4 O 1.87-2.04
Li 0.9207 0.5000 0.6128  5 O 1.98-2.11
Ti 0.4174 0.0000 0.8236  6 O 1.94-2.01
Ti 0.4278 0.3356 0.8187  6 O 1.87-2.09
Ti 0.4278 0.6644 0.8187  6 O 1.87-2.09
Ti 0.4534 0.5000 0.1065  6 O 1.93-2.07
Ti 0.4608 0.1688 0.1067  6 O 1.91-2.07
Ti 0.4608 0.8312 0.1067  6 O 1.91-2.07
Ti 0.9199 0.1765 0.6059  6 O 1.88-2.10
Ti 0.9199 0.8235 0.6059  6 O 1.88-2.10
Ti 0.9517 0.3372 0.3313  6 O 1.91-2.04
Ti 0.9517 0.6628 0.3313  6 O 1.91-2.04
Ti 0.9557 0.0000 0.3252  6 O 1.96-2.03
O 0.1555 0.0000 0.6754  3 Ti 1.94-2.06, 1 Li 2.04
O 0.1563 0.1674 0.4270  2 Li 1.98-2.01, 3 Ti 2.03-2.10
O 0.1563 0.8326 0.4270  2 Li 1.98-2.01, 3 Ti 2.03-2.10
O 0.1627 0.5000 0.4140  2 Ti 1.94, 2 Li 1.96
O 0.1637 0.3196 0.6787  2 Ti 1.88-1.89, 2 Li 2.01-2.09
O 0.1637 0.6804 0.6787  2 Ti 1.88-1.89, 2 Li 2.01-2.09
O 0.2224 0.3309 0.1733  3 Ti 1.97-2.04, 1 Li 2.04
O 0.2224 0.6691 0.1733  3 Ti 1.97-2.04, 1 Li 2.04
O 0.2280 0.1649 0.9286  2 Li 1.96-1.97, 3 Ti 2.00-2.09
O 0.2281 0.5000 0.9262  2 Li 1.98, 3 Ti 2.04-2.07
O 0.2280 0.8351 0.9286  2 Li 1.96-1.97, 3 Ti 2.00-2.09
O 0.2287 0.0000 0.1787  3 Ti 1.97-2.01, 1 Li 2.06
O 0.6189 0.5000 0.7443  2 Ti 1.87, 1 Li 1.98
O 0.6324 0.0000 0.0007  1 Li 1.84, 3 Ti 1.99-2.01
O 0.6333 0.3322 0.0004  1 Li 1.84, 3 Ti 1.96-2.03
O 0.6333 0.6678 0.0004  1 Li 1.84, 3 Ti 1.96-2.03
O 0.6463 0.1642 0.7442  3 Ti 1.92-2.00
O 0.6463 0.8358 0.7442  3 Ti 1.92-2.00
O 0.7404 0.5000 0.2404  3 Ti 1.93-1.98
O 0.7423 0.1637 0.2410  3 Ti 1.91-2.04
O 0.7423 0.8363 0.2410  3 Ti 1.91-2.04
O 0.7438 0.3231 0.4963  1 Li 1.85, 2 Ti 1.88-1.91
O 0.7438 0.6769 0.4963  1 Li 1.85, 2 Ti 1.88-1.91
O 0.7547 0.0000 0.5022  1 Li 1.87, 3 Ti 1.98-2.02

* E: -0.30655 Ha/atom
* distance to the lowest polymorph of the same formula: 29 meV per atom
* SG: Pm, No. 6

***

[2]
The following is a DFT calculation (GGA-PBEsol) of a relaxed LiTi3O6 crystal.

a = 7.1663 Å, b = 7.1663 Å, c = 4.9612 Å
α = 92.25°, β = 92.25°, γ = 23.57°
With the nearest neighbours (Å) after each atom.
Positions (direct):
Li 0.0000 0.0000 0.0000  4 O 1.84-2.05
Ti 0.2184 0.2184 0.0635  6 O 1.96-2.04
Ti 0.5629 0.5629 0.5363  6 O 1.91-2.05
Ti 0.8681 0.8681 0.5818  6 O 1.94-2.04
O 0.1157 0.1157 0.7609  3 Ti 1.97-2.04, 1 Li 2.05
O 0.3098 0.3098 0.3755  3 Ti 1.95-1.97
O 0.4463 0.4463 0.7740  2 Li 1.97, 3 Ti 2.04-2.05
O 0.6447 0.6447 0.2376  3 Ti 1.91-2.01
O 0.7830 0.7830 0.8799  3 Ti 1.94-1.96
O 0.9857 0.9857 0.3662  1 Li 1.84, 3 Ti 1.99-2.00

* E: -0.32182 Ha/atom
* distance to the lowest polymorph of the same formula: 0 meV per atom
* SG: Cm, No. 8

***

[3]
The following is a DFT calculation (GGA-PBEsol) of a relaxed Li2TiO3 crystal.

a = 4.9892 Å, b = 4.9892 Å, c = 5.0163 Å
α = 100.99°, β = 100.99°, γ = 118.14°
With the nearest neighbours (Å) after each atom.
Positions (direct):
Li 0.0810 0.9190 0.7500  4 O 1.99-2.03
Li 0.2437 0.7563 0.2500  6 O 2.07-2.10
Li 0.7563 0.2437 0.7500  6 O 2.07-2.10
Li 0.9190 0.0810 0.2500  4 O 1.99-2.03
Ti 0.4106 0.5894 0.7500  6 O 1.95-1.98
Ti 0.5894 0.4106 0.2500  6 O 1.95-1.98
O 0.0000 0.5000 0.5000  2 Ti 1.98, 4 Li 2.03-2.10
O 0.2015 0.3504 0.9895  2 Ti 1.95-1.97, 3 Li 1.99-2.08
O 0.3504 0.2015 0.4895  2 Ti 1.95-1.97, 3 Li 1.99-2.08
O 0.5000 0.0000 0.0000  2 Ti 1.98, 4 Li 2.03-2.10
O 0.6496 0.7985 0.5105  2 Ti 1.95-1.97, 3 Li 1.99-2.08
O 0.7985 0.6496 0.0105  2 Ti 1.95-1.97, 3 Li 1.99-2.08

* E: -0.26961 Ha/atom
* SG: C2/c, No. 15

***

[4]
The following is a DFT calculation (GGA-PBEsol) of a relaxed LiTi2O4 crystal.

a = 8.0821 Å, b = 9.0188 Å, c = 3.7912 Å
α = 90.00°, β = 90.00°, γ = 90.00°
With the nearest neighbours (Å) after each atom.
Positions (direct):
Li 0.1240 0.1660 0.0000  5 O 1.95-1.99
Li 0.3760 0.6660 0.5000  5 O 1.95-1.99
Li 0.6240 0.3340 0.5000  5 O 1.95-1.99
Li 0.8760 0.8340 0.0000  5 O 1.95-1.99
Ti 0.1185 0.6072 0.0000  6 O 1.94-2.15
Ti 0.1348 0.8855 0.5000  6 O 1.93-2.11
Ti 0.3652 0.3855 0.0000  6 O 1.93-2.11
Ti 0.3815 0.1072 0.5000  6 O 1.94-2.15
Ti 0.6185 0.8928 0.5000  6 O 1.94-2.15
Ti 0.6348 0.6145 0.0000  6 O 1.93-2.11
Ti 0.8652 0.1145 0.5000  6 O 1.93-2.11
Ti 0.8815 0.3928 0.0000  6 O 1.94-2.15
O 0.1170 0.8459 0.0000  3 Ti 1.93-2.15, 1 Li 1.95
O 0.1237 0.0994 0.5000  3 Ti 1.93-2.09, 2 Li 1.99
O 0.1254 0.3872 0.0000  3 Ti 1.94-1.99, 1 Li 1.99
O 0.1340 0.6518 0.5000  3 Ti 1.94-2.11, 1 Li 1.96
O 0.3660 0.1518 0.0000  3 Ti 1.94-2.11, 1 Li 1.96
O 0.3746 0.8872 0.5000  3 Ti 1.94-1.99, 1 Li 1.99
O 0.3763 0.5994 0.0000  3 Ti 1.93-2.09, 2 Li 1.99
O 0.3830 0.3459 0.5000  3 Ti 1.93-2.15, 1 Li 1.95
O 0.6170 0.6541 0.5000  3 Ti 1.93-2.15, 1 Li 1.95
O 0.6237 0.4006 0.0000  3 Ti 1.93-2.09, 2 Li 1.99
O 0.6254 0.1128 0.5000  3 Ti 1.94-1.99, 1 Li 1.99
O 0.6340 0.8482 0.0000  3 Ti 1.94-2.11, 1 Li 1.96
O 0.8660 0.3482 0.5000  3 Ti 1.94-2.11, 1 Li 1.96
O 0.8746 0.6128 0.0000  3 Ti 1.94-1.99, 1 Li 1.99
O 0.8763 0.9006 0.5000  3 Ti 1.93-2.09, 2 Li 1.99
O 0.8830 0.1541 0.0000  3 Ti 1.93-2.15, 1 Li 1.95

* E: -0.31336 Ha/atom
* distance to the lowest polymorph of the same formula: 17 meV per atom
* SG: Pnnm, No. 58

***

For reference, ρ by record: 3.76 4.02 3.56 4.01 g cm⁻³.
For reference, uncorrected formation energy by record: -119.05 -29.14 -16.02 -20.08 eV/f.u..